(1)
DFT (PBE) results for crystalline Pu2Ag2Au15 at its relaxed geometry.

Calculated values
Space-group type: R-3m, No. 166
Crystal system: trigonal
D(E_F): 2.3047 states/eV per atom
Energy relative to the elements: -141 meV/atom

Cell lengths 7.3363, 7.3363, 7.3363 Å; angles 81.54, 81.54, 81.54 degrees
With the nearest neighbours (Å) after each atom.
Positions (direct):
Pu 0.3430 0.3430 0.3430  15 Au 3.35-3.70, 1 Ag 3.54
Pu 0.6570 0.6570 0.6570  15 Au 3.35-3.70, 1 Ag 3.54
Ag 0.0980 0.0980 0.0980  1 Ag 2.83, 6 Au 2.94-3.10
Ag 0.9020 0.9020 0.9020  1 Ag 2.83, 6 Au 2.94-3.10
Au 0.5000 0.0000 0.0000  8 Au 2.81-2.83, 2 Ag 2.94
Au 0.0000 0.0000 0.5000  8 Au 2.81-2.83, 2 Ag 2.94
Au 0.0000 0.5000 0.0000  8 Au 2.81-2.83, 2 Ag 2.94
Au 0.0000 0.6964 0.3036  8 Au 2.83-3.06
Au 0.6964 0.3036 0.0000  8 Au 2.83-3.06
Au 0.3036 0.0000 0.6964  8 Au 2.83-3.06
Au 0.3036 0.6964 0.0000  8 Au 2.83-3.06
Au 0.6964 0.0000 0.3036  8 Au 2.83-3.06
Au 0.0000 0.3036 0.6964  8 Au 2.83-3.06
Au 0.1562 0.6447 0.6447  8 Au 2.75-3.06
Au 0.6447 0.6447 0.1562  8 Au 2.75-3.06
Au 0.6447 0.1562 0.6447  8 Au 2.75-3.06
Au 0.8438 0.3553 0.3553  8 Au 2.75-3.06
Au 0.3553 0.3553 0.8438  8 Au 2.75-3.06
Au 0.3553 0.8438 0.3553  8 Au 2.75-3.06

=====

(2)
DFT (PBE) results for crystalline Pu5Ag4Au2 at its relaxed geometry.

Calculated values
Space-group type: C2/m, No. 12
Crystal system: monoclinic
D(E_F): 2.7916 states/eV per atom
Energy relative to the elements: 45 meV/atom

Cell lengths 5.9497, 5.9497, 7.9760 Å; angles 73.13, 73.13, 63.79 degrees
With the nearest neighbours (Å) after each atom.
Positions (direct):
Pu 0.6843 0.1998 0.7503  1 Pu 2.48
Pu 0.3157 0.8002 0.2497  1 Pu 2.48
Pu 0.0000 0.0000 0.5000  4 Pu 2.48
Pu 0.1998 0.6843 0.7503  1 Pu 2.48
Pu 0.8002 0.3157 0.2497  1 Pu 2.48
Ag 0.2897 0.2897 0.5082  1 Au 2.91, 5 Pu 2.95-3.23, 1 Ag 2.97
Ag 0.7103 0.7103 0.4918  1 Au 2.91, 5 Pu 2.95-3.23, 1 Ag 2.97
Ag 0.6571 0.6571 0.8818  2 Ag 2.97-3.09, 3 Au 3.03-3.14, 6 Pu 3.11-3.15
Ag 0.3429 0.3429 0.1182  2 Ag 2.97-3.09, 3 Au 3.03-3.14, 6 Pu 3.11-3.15
Au 0.1546 0.1546 0.8936  4 Ag 2.91-3.14, 1 Au 3.00, 6 Pu 3.12-3.20
Au 0.8454 0.8454 0.1064  4 Ag 2.91-3.14, 1 Au 3.00, 6 Pu 3.12-3.20

=====

(3)
DFT (PBE) results for crystalline Pu3Ag2Au4 at its relaxed geometry.

Calculated values
Space-group type: C2/m, No. 12
Crystal system: monoclinic
D(E_F): 3.1677 states/eV per atom
Energy relative to the elements: -346 meV/atom

Cell lengths 4.9311, 5.8015, 9.0686 Å; angles 120.72, 90.00, 115.15 degrees
With the nearest neighbours (Å) after each atom.
Positions (direct):
Pu 0.6652 0.3304 0.6689  2 Pu 3.07-3.08, 4 Ag 3.21-3.25, 8 Au 3.21-3.24
Pu 0.0000 0.0000 0.0000  2 Pu 3.08, 8 Au 3.22-3.25, 4 Ag 3.25
Pu 0.3348 0.6696 0.3311  2 Pu 3.07-3.08, 4 Ag 3.21-3.25, 8 Au 3.21-3.24
Ag 0.6131 0.2263 0.2800  5 Au 2.83-3.07
Ag 0.3869 0.7737 0.7200  5 Au 2.83-3.07
Au 0.7196 0.4391 0.0548  2 Ag 2.83-3.07, 3 Au 2.86-3.12
Au 0.2804 0.5609 0.9452  2 Ag 2.83-3.07, 3 Au 2.86-3.12
Au 0.9409 0.8818 0.6096  3 Ag 2.84-3.03, 2 Au 2.88-3.12
Au 0.0591 0.1182 0.3904  3 Ag 2.84-3.03, 2 Au 2.88-3.12

=====

(4)
DFT (PBE) results for crystalline Pu4Ag3Au4 at its relaxed geometry.

Calculated values
Space-group type: Immm, No. 71
Crystal system: orthorhombic
D(E_F): 2.7465 states/eV per atom
Energy relative to the elements: -1 meV/atom

Cell lengths 5.1825, 5.7866, 9.3062 Å; angles 108.11, 106.17, 90.00 degrees
With the nearest neighbours (Å) after each atom.
Positions (direct):
Pu 0.3240 0.0692 0.6479  2 Pu 2.84-2.95, 4 Au 2.98-3.07
Pu 0.6760 0.4213 0.3521  2 Pu 2.84-2.95, 4 Au 2.98-3.07
Pu 0.6760 0.9308 0.3521  2 Pu 2.84-2.95, 4 Au 2.98-3.07
Pu 0.3240 0.5787 0.6479  2 Pu 2.84-2.95, 4 Au 2.98-3.07
Ag 0.0875 0.0875 0.1750  3 Ag 2.96-3.25, 6 Au 3.16-3.31, 4 Pu 3.31
Ag 0.9125 0.9125 0.8250  3 Ag 2.96-3.25, 6 Au 3.16-3.31, 4 Pu 3.31
Ag 0.0000 0.5000 0.0000  6 Au 2.76-2.98
Au 0.1630 0.6630 0.3260  1 Ag 2.76, 6 Pu 2.99-3.07
Au 0.8370 0.3370 0.6740  1 Ag 2.76, 6 Pu 2.99-3.07
Au 0.5000 0.7543 0.0000  2 Au 2.84-2.94, 2 Pu 2.98, 2 Ag 2.98
Au 0.5000 0.2457 0.0000  2 Au 2.84-2.94, 2 Pu 2.98, 2 Ag 2.98

=====

(5)
DFT (PBE) results for crystalline PuAg4Au at its relaxed geometry.

Calculated values
Space-group type: F-43m, No. 216
Crystal system: cubic
D(E_F): 2.8285 states/eV per atom
Energy relative to the elements: -30 meV/atom

Cell lengths 5.5619, 5.5619, 5.5619 Å; angles 60.00, 60.00, 60.00 degrees
With the nearest neighbours (Å) after each atom.
Positions (direct):
Au 0.0000 0.0000 0.0000  12 Ag 3.26, 4 Pu 3.41
Ag 0.6254 0.6254 0.1238  6 Ag 2.77-2.79
Ag 0.6254 0.1238 0.6254  6 Ag 2.77-2.79
Ag 0.6254 0.6254 0.6254  6 Ag 2.77-2.79
Ag 0.1238 0.6254 0.6254  6 Ag 2.77-2.79
Pu 0.2500 0.2500 0.2500  12 Ag 3.26, 4 Au 3.41

=====

(6)
DFT (PBE) results for crystalline Pu2Ag2Au at its relaxed geometry.

Calculated values
Space-group type: I4_1/amd, No. 141
Crystal system: tetragonal
D(E_F): 4.7064 states/eV per atom
Energy relative to the elements: 77 meV/atom

Cell lengths 4.5694, 4.5694, 12.6973 Å; angles 100.37, 100.37, 90.00 degrees
With the nearest neighbours (Å) after each atom.
Positions (direct):
Pu 0.8246 0.8246 0.6493  2 Au 2.93, 6 Ag 3.23-3.28
Pu 0.5746 0.0746 0.1493  2 Au 2.93, 6 Ag 3.23-3.28
Pu 0.9254 0.4254 0.8507  2 Au 2.93, 6 Ag 3.23-3.28
Pu 0.1754 0.1754 0.3507  2 Au 2.93, 6 Ag 3.23-3.28
Ag 0.4202 0.9202 0.8404  2 Au 3.01, 2 Ag 3.19, 6 Pu 3.23-3.28
Ag 0.6702 0.6702 0.3404  2 Au 3.01, 2 Ag 3.19, 6 Pu 3.23-3.28
Ag 0.3298 0.3298 0.6596  2 Au 3.01, 2 Ag 3.19, 6 Pu 3.23-3.28
Ag 0.0798 0.5798 0.1596  2 Au 3.01, 2 Ag 3.19, 6 Pu 3.23-3.28
Au 0.5000 0.5000 0.0000  4 Pu 2.93, 4 Ag 3.01
Au 0.2500 0.7500 0.5000  4 Pu 2.93, 4 Ag 3.01